{"formula": "ScAsAu2", "functional": "PBE-GGA", "state": "optimized geometry", "total_energy_ev_per_atom": -4.90, "volume_a3_per_fu": 77.3, "e_form_kj_per_mol_atoms": -50.2, "space_group": "P4/mmm, No. 123", "magnetic_moment_mub_per_atom": 0.000, "lattice_angstrom": [[3.755, 0.000, 0.000], [0.000, 3.755, 0.000], [0.000, 0.000, 5.481]], "species": ["Sc", "As", "Au", "Au"], "fractional_positions": [[0.000, 0.000, 0.000], [0.000, 0.000, 0.500], [0.500, 0.500, 0.248], [0.500, 0.500, 0.752]]}

{"formula": "ScAs2Au", "functional": "PBE-GGA", "state": "optimized geometry", "total_energy_ev_per_atom": -5.22, "volume_a3_per_fu": 75.6, "e_form_kj_per_mol_atoms": -47.2, "space_group": "I-4m2, No. 119", "magnetic_moment_mub_per_atom": 0.000, "lattice_angstrom": [[3.914, 0.000, 0.000], [0.000, 3.914, 0.000], [0.000, 0.000, 9.874]], "species": ["Sc", "Sc", "As", "As", "As", "As", "Au", "Au"], "fractional_positions": [[0.000, 0.000, 0.000], [0.500, 0.500, 0.500], [0.000, 0.000, 0.500], [0.000, 0.500, 0.750], [0.500, 0.000, 0.250], [0.500, 0.500, 0.000], [0.000, 0.500, 0.250], [0.500, 0.000, 0.750]]}

{"formula": "Sc2AsAu2", "functional": "PBE-GGA", "state": "optimized geometry", "total_energy_ev_per_atom": -5.43, "volume_a3_per_fu": 101.2, "de_polymorph_ev_per_atom": 0.000, "e_form_kj_per_mol_atoms": -63.7, "space_group": "P4/mbm, No. 127", "magnetic_moment_mub_per_atom": 0.000, "lattice_angstrom": [[7.432, 0.000, 0.000], [0.000, 7.432, 0.000], [0.000, 0.000, 3.664]], "species": ["Sc", "Sc", "Sc", "Sc", "As", "As", "Au", "Au", "Au", "Au"], "fractional_positions": [[0.168, 0.332, 0.000], [0.332, 0.832, 0.000], [0.668, 0.168, 0.000], [0.832, 0.668, 0.000], [0.000, 0.000, 0.500], [0.500, 0.500, 0.500], [0.132, 0.632, 0.500], [0.368, 0.132, 0.500], [0.632, 0.868, 0.500], [0.868, 0.368, 0.500]]}

{"formula": "ScAs2Au", "functional": "PBE-GGA", "state": "optimized geometry", "total_energy_ev_per_atom": -5.09, "volume_a3_per_fu": 84.8, "e_form_kj_per_mol_atoms": -34.8, "space_group": "C2/m, No. 12", "magnetic_moment_mub_per_atom": 0.000, "lattice_angstrom": [[9.607, 0.000, 0.000], [0.000, 3.521, 0.000], [-0.035, 0.000, 5.013]], "species": ["Sc", "Sc", "As", "As", "As", "As", "Au", "Au"], "fractional_positions": [[0.000, 0.000, 0.000], [0.500, 0.500, 0.000], [0.221, 0.500, 0.821], [0.279, 0.000, 0.179], [0.721, 0.000, 0.821], [0.779, 0.500, 0.179], [0.000, 0.500, 0.500], [0.500, 0.000, 0.500]]}

{"formula": "ScAsAu2", "functional": "PBE-GGA", "state": "optimized geometry", "total_energy_ev_per_atom": -4.91, "volume_a3_per_fu": 79.7, "e_form_kj_per_mol_atoms": -50.3, "space_group": "I-42d, No. 122", "magnetic_moment_mub_per_atom": 0.000, "lattice_angstrom": [[3.900, 0.000, 0.000], [0.000, 3.900, 0.000], [0.000, 0.000, 20.962]], "species": ["Sc", "Sc", "Sc", "Sc", "As", "As", "As", "As", "Au", "Au", "Au", "Au", "Au", "Au", "Au", "Au"], "fractional_positions": [[0.000, 0.000, 0.000], [0.000, 0.500, 0.250], [0.500, 0.000, 0.750], [0.500, 0.500, 0.500], [0.000, 0.000, 0.500], [0.000, 0.500, 0.750], [0.500, 0.000, 0.250], [0.500, 0.500, 0.000], [0.248, 0.250, 0.625], [0.250, 0.748, 0.875], [0.250, 0.752, 0.375], [0.252, 0.250, 0.125], [0.748, 0.750, 0.125], [0.750, 0.248, 0.375], [0.750, 0.252, 0.875], [0.752, 0.750, 0.625]]}

{"formula": "Sc2AsAu", "functional": "PBE-GGA", "state": "optimized geometry", "total_energy_ev_per_atom": -6.03, "volume_a3_per_fu": 78.0, "e_form_kj_per_mol_atoms": -85.2, "space_group": "P2/m, No. 10", "magnetic_moment_mub_per_atom": 0.146, "lattice_angstrom": [[3.472, 0.000, 0.000], [0.000, 3.471, 0.000], [-0.277, 0.000, 6.473]], "species": ["Sc", "Sc", "As", "Au"], "fractional_positions": [[0.018, 0.000, 0.263], [0.982, 0.000, 0.737], [0.500, 0.500, 0.500], [0.500, 0.500, 0.000]]}

{"formula": "ScAs2Au", "functional": "PBE-GGA", "state": "optimized geometry", "total_energy_ev_per_atom": -4.84, "volume_a3_per_fu": 77.3, "e_form_kj_per_mol_atoms": -10.8, "space_group": "R-3m, No. 166", "magnetic_moment_mub_per_atom": 0.000, "lattice_angstrom": [[3.102, 0.000, 0.000], [-1.551, 2.687, 0.000], [0.000, 0.000, 27.811]], "species": ["Sc", "Sc", "Sc", "As", "As", "As", "As", "As", "As", "Au", "Au", "Au"], "fractional_positions": [[0.000, 0.000, 0.000], [0.333, 0.667, 0.667], [0.667, 0.333, 0.333], [0.000, 0.000, 0.253], [0.000, 0.000, 0.747], [0.333, 0.667, 0.413], [0.333, 0.667, 0.920], [0.667, 0.333, 0.080], [0.667, 0.333, 0.587], [0.000, 0.000, 0.500], [0.333, 0.667, 0.167], [0.667, 0.333, 0.833]]}

{"formula": "ScAsAu2", "functional": "PBE-GGA", "state": "optimized geometry", "total_energy_ev_per_atom": -4.87, "volume_a3_per_fu": 78.5, "e_form_kj_per_mol_atoms": -46.9, "space_group": "Cm, No. 8", "magnetic_moment_mub_per_atom": 0.000, "lattice_angstrom": [[10.083, 0.000, 0.000], [0.000, 3.727, 0.000], [-0.020, 0.000, 4.176]], "species": ["Sc", "Sc", "As", "As", "Au", "Au", "Au", "Au"], "fractional_positions": [[0.000, 0.000, 0.000], [0.500, 0.500, 0.000], [0.238, 0.500, 0.003], [0.738, 0.000, 0.003], [0.080, 0.500, 0.501], [0.311, 0.000, 0.505], [0.580, 0.000, 0.501], [0.811, 0.500, 0.505]]}